# 1
Cr2OsRh: relaxed, PBE-GGA.

Unit cell a=8.6899 b=8.6899 c=8.6899 alpha=17.65 beta=17.65 gamma=17.65
Last column: nearest neighbours and their distance in Å.
Element x y z (fractional)
Cr (0.4995, 0.4995, 0.4995)  3 Rh 2.62, 3 Os 2.65, 6 Cr 2.67
Cr (0.0005, 0.0005, 0.0005)  3 Rh 2.62, 3 Os 2.65, 6 Cr 2.67
Os (0.2500, 0.2500, 0.2500)  6 Cr 2.65, 6 Os 2.67
Rh (0.7500, 0.7500, 0.7500)  6 Cr 2.62, 6 Rh 2.67

Values from the calculation:
As for the space-group type: R-3m, No. 166.

---

# 2
Cr2OsRh: relaxed, PBE-GGA.

Unit cell a=4.5866 b=4.5866 c=4.5636 alpha=80.12 beta=80.12 gamma=33.78
Last column: nearest neighbours and their distance in Å.
Element x y z (fractional)
Cr (0.0003, 0.0003, 0.0063)  3 Rh 2.60-2.61, 4 Os 2.60-2.69, 5 Cr 2.65-2.70
Cr (0.7488, 0.7488, 0.7431)  3 Os 2.58-2.62, 4 Rh 2.61-2.68, 5 Cr 2.65-2.70
Rh (0.2516, 0.2516, 0.2327)  7 Cr 2.60-2.68, 2 Rh 2.67, 3 Os 2.71-2.73
Os (0.4993, 0.4993, 0.5180)  7 Cr 2.58-2.69, 2 Os 2.67, 3 Rh 2.71-2.73

Values from the calculation:
As for the space-group type: Cm, No. 8.

---

# 3
Cr2Os6Rh: relaxed, PBE-GGA.

Unit cell a=8.7553 b=7.1241 c=7.1241 alpha=54.27 beta=129.42 gamma=129.42
Last column: nearest neighbours and their distance in Å.
Element x y z (fractional)
Cr (0.1390, 0.1647, 0.4061)  5 Os 2.41-2.64, 1 Cr 2.54, 2 Rh 2.67-2.69
Cr (0.6390, 0.4061, 0.1647)  5 Os 2.41-2.64, 1 Cr 2.54, 2 Rh 2.67-2.69
Cr (0.3610, 0.5939, 0.8353)  5 Os 2.41-2.64, 1 Cr 2.54, 2 Rh 2.67-2.69
Cr (0.8610, 0.8353, 0.5939)  5 Os 2.41-2.64, 1 Cr 2.54, 2 Rh 2.67-2.69
Os (0.9825, 0.6123, 0.5850)  2 Cr 2.45-2.64, 2 Os 2.70-2.74, 1 Rh 2.74
Os (0.4825, 0.5850, 0.6123)  2 Cr 2.45-2.64, 2 Os 2.70-2.74, 1 Rh 2.74
Os (0.0175, 0.3877, 0.4150)  2 Cr 2.45-2.64, 2 Os 2.70-2.74, 1 Rh 2.74
Os (0.4085, 0.9983, 0.7656)  2 Cr 2.41-2.42, 3 Os 2.57-2.65, 1 Rh 2.67
Os (0.2173, 0.6296, 0.1007)  7 Os 2.57-2.84, 1 Cr 2.60, 1 Rh 2.81
Os (0.7827, 0.3704, 0.8993)  7 Os 2.57-2.84, 1 Cr 2.60, 1 Rh 2.81
Os (0.7173, 0.1007, 0.6296)  7 Os 2.57-2.84, 1 Cr 2.60, 1 Rh 2.81
Os (0.2827, 0.8993, 0.3704)  7 Os 2.57-2.84, 1 Cr 2.60, 1 Rh 2.81
Os (0.5175, 0.4150, 0.3877)  2 Cr 2.45-2.64, 2 Os 2.70-2.74, 1 Rh 2.74
Os (0.5915, 0.0017, 0.2344)  2 Cr 2.41-2.42, 3 Os 2.57-2.65, 1 Rh 2.67
Os (0.9085, 0.7656, 0.9983)  2 Cr 2.41-2.42, 3 Os 2.57-2.65, 1 Rh 2.67
Os (0.0915, 0.2344, 0.0017)  2 Cr 2.41-2.42, 3 Os 2.57-2.65, 1 Rh 2.67
Rh (0.7500, 0.8722, 0.1278)  4 Cr 2.67-2.69, 8 Os 2.67-2.81
Rh (0.2500, 0.1278, 0.8722)  4 Cr 2.67-2.69, 8 Os 2.67-2.81

Values from the calculation:
As for the space-group type: C2/c, No. 15.

---

# 4
Cr6OsRh5: relaxed, PBE-GGA.

Unit cell a=3.7939 b=7.0534 c=7.0534 alpha=108.62 beta=105.61 gamma=105.61
Last column: nearest neighbours and their distance in Å.
Element x y z (fractional)
Rh (0.5000, 0.1686, 0.8314)  8 Cr 2.62-2.66, 2 Rh 2.68, 2 Os 2.71
Rh (0.0000, 0.3338, 0.6662)  8 Cr 2.64-2.66, 4 Rh 2.68-2.69
Rh (0.5000, 0.5000, 0.5000)  8 Cr 2.63-2.65, 4 Rh 2.69
Rh (0.0000, 0.6662, 0.3338)  8 Cr 2.64-2.66, 4 Rh 2.68-2.69
Rh (0.5000, 0.8314, 0.1686)  8 Cr 2.62-2.66, 2 Rh 2.68, 2 Os 2.71
Cr (0.7477, 0.2476, 0.2476)  2 Os 2.62, 6 Rh 2.64-2.65, 4 Cr 2.66-2.67
Cr (0.7522, 0.9155, 0.5888)  1 Os 2.60, 7 Rh 2.62-2.66, 4 Cr 2.66-2.75
Cr (0.2478, 0.4112, 0.0845)  1 Os 2.60, 7 Rh 2.62-2.66, 4 Cr 2.66-2.75
Cr (0.2523, 0.7524, 0.7524)  2 Os 2.62, 6 Rh 2.64-2.65, 4 Cr 2.66-2.67
Cr (0.7522, 0.5888, 0.9155)  1 Os 2.60, 7 Rh 2.62-2.66, 4 Cr 2.66-2.75
Cr (0.2478, 0.0845, 0.4112)  1 Os 2.60, 7 Rh 2.62-2.66, 4 Cr 2.66-2.75
Os (0.0000, 0.0000, 0.0000)  8 Cr 2.60-2.62, 4 Rh 2.71

Values from the calculation:
As for the space-group type: Immm, No. 71.

---

# 5
Cr2OsRh: relaxed, PBE-GGA.

Unit cell a=4.2635 b=4.2635 c=4.2635 alpha=60.00 beta=60.00 gamma=60.00
Last column: nearest neighbours and their distance in Å.
Element x y z (fractional)
Cr (0.7500, 0.7500, 0.7500)  4 Os 2.61, 4 Rh 2.61
Cr (0.2500, 0.2500, 0.2500)  4 Os 2.61, 4 Rh 2.61
Rh (0.0000, 0.0000, 0.0000)  8 Cr 2.61
Os (0.5000, 0.5000, 0.5000)  8 Cr 2.61

Values from the calculation:
As for the space-group type: Fm-3m, No. 225.

---

# 6
CrOsRh: relaxed, PBE-GGA.

Unit cell a=3.7577 b=3.7994 c=5.9680 alpha=90.00 beta=108.35 gamma=90.00
Last column: nearest neighbours and their distance in Å.
Element x y z (fractional)
Rh (0.2503, 0.2500, 0.5006)  4 Rh 2.67, 4 Os 2.69-2.70, 4 Cr 2.71-2.73
Rh (0.7497, 0.7500, 0.4994)  4 Rh 2.67, 4 Os 2.69-2.70, 4 Cr 2.71-2.73
Os (0.5806, 0.2500, 0.1611)  6 Cr 2.60-2.67, 2 Os 2.63, 4 Rh 2.69-2.70
Os (0.4194, 0.7500, 0.8389)  6 Cr 2.60-2.67, 2 Os 2.63, 4 Rh 2.69-2.70
Cr (0.9225, 0.2500, 0.8449)  2 Cr 2.59, 6 Os 2.60-2.67, 4 Rh 2.71-2.73
Cr (0.0775, 0.7500, 0.1551)  2 Cr 2.59, 6 Os 2.60-2.67, 4 Rh 2.71-2.73

Values from the calculation:
As for the space-group type: Cmcm, No. 63.

---

# 7
Cr2OsRh8: relaxed, PBE-GGA.

Unit cell a=4.5913 b=7.4428 c=7.4428 alpha=39.90 beta=75.88 gamma=75.88
Last column: nearest neighbours and their distance in Å.
Element x y z (fractional)
Rh (0.9381, 0.1958, 0.1958)  2 Cr 2.42-2.51, 1 Os 2.68
Rh (0.0273, 0.5885, 0.5885)  1 Cr 2.40, 5 Rh 2.55-2.67
Rh (0.5082, 0.8537, 0.3482)  2 Cr 2.48-2.52, 4 Rh 2.51-2.67, 1 Os 2.65
Rh (0.4918, 0.1463, 0.6518)  2 Cr 2.48-2.52, 4 Rh 2.51-2.67, 1 Os 2.65
Rh (0.5082, 0.3482, 0.8537)  2 Cr 2.48-2.52, 4 Rh 2.51-2.67, 1 Os 2.65
Rh (0.9727, 0.4115, 0.4115)  1 Cr 2.40, 5 Rh 2.55-2.67
Rh (0.4918, 0.6518, 0.1463)  2 Cr 2.48-2.52, 4 Rh 2.51-2.67, 1 Os 2.65
Rh (0.0619, 0.8042, 0.8042)  2 Cr 2.42-2.51, 1 Os 2.68
Cr (0.6260, 0.7376, 0.7376)  7 Rh 2.40-2.52
Cr (0.3740, 0.2624, 0.2624)  7 Rh 2.40-2.52
Os (0.0000, 0.0000, 0.0000)  10 Rh 2.65-2.84

Values from the calculation:
As for the space-group type: C2/m, No. 12.

---

# 8
Cr2OsRh9: relaxed, PBE-GGA.

Unit cell a=3.8198 b=3.8198 c=11.4703 alpha=90.00 beta=90.00 gamma=90.00
Last column: nearest neighbours and their distance in Å.
Element x y z (fractional)
Os (0.0000, 0.0000, 0.0000)  12 Rh 2.70
Rh (0.0000, 0.5000, 0.1661)  8 Rh 2.70, 2 Os 2.70, 2 Cr 2.75
Rh (0.5000, 0.5000, 0.3328)  4 Cr 2.70, 8 Rh 2.70-2.71
Rh (0.0000, 0.5000, 0.5000)  4 Cr 2.66, 8 Rh 2.70-2.71
Rh (0.5000, 0.0000, 0.8339)  2 Os 2.70, 8 Rh 2.70, 2 Cr 2.75
Rh (0.5000, 0.0000, 0.5000)  4 Cr 2.66, 8 Rh 2.70-2.71
Rh (0.5000, 0.5000, 0.0000)  8 Rh 2.70, 4 Os 2.70
Rh (0.5000, 0.5000, 0.6672)  4 Cr 2.70, 8 Rh 2.70-2.71
Rh (0.5000, 0.0000, 0.1661)  2 Os 2.70, 8 Rh 2.70, 2 Cr 2.75
Rh (0.0000, 0.5000, 0.8339)  8 Rh 2.70, 2 Os 2.70, 2 Cr 2.75
Cr (0.0000, 0.0000, 0.3392)  12 Rh 2.66-2.75
Cr (0.0000, 0.0000, 0.6608)  12 Rh 2.66-2.75

Values from the calculation:
As for the space-group type: P4/mmm, No. 123.

---

# 9
CrOsRh: relaxed, PBE-GGA.

Unit cell a=2.6985 b=5.0522 c=7.1090 alpha=96.23 beta=101.01 gamma=57.71
Last column: nearest neighbours and their distance in Å.
Element x y z (fractional)
Cr (0.4098, 0.3547, 0.4112)  4 Cr 2.55-2.70, 6 Rh 2.57-2.63, 2 Os 2.66-2.67
Cr (0.0357, 0.8369, 0.6291)  4 Cr 2.55-2.70, 6 Rh 2.57-2.63, 2 Os 2.66-2.67
Rh (0.0788, 0.3424, 0.7247)  6 Cr 2.57-2.63, 4 Os 2.69-2.83, 2 Rh 2.70
Rh (0.3667, 0.8493, 0.3157)  6 Cr 2.57-2.63, 4 Os 2.69-2.83, 2 Rh 2.70
Os (0.7536, 0.3463, 0.0816)  6 Os 2.66-2.70, 2 Cr 2.66-2.67, 4 Rh 2.69-2.83
Os (0.6919, 0.8453, 0.9587)  6 Os 2.66-2.70, 2 Cr 2.66-2.67, 4 Rh 2.69-2.83

Values from the calculation:
As for the space-group type: P-1, No. 2.

---

# 10
Cr2OsRh: relaxed, PBE-GGA.

Unit cell a=4.6235 b=4.6235 c=4.6235 alpha=132.63 beta=132.63 gamma=69.24
Last column: nearest neighbours and their distance in Å.
Element x y z (fractional)
Cr (0.2500, 0.7500, 0.5000)  4 Rh 2.63, 4 Cr 2.66, 4 Os 2.66
Cr (0.0000, 0.0000, 0.0000)  4 Os 2.63, 4 Rh 2.66, 4 Cr 2.66
Os (0.5000, 0.5000, 0.0000)  8 Cr 2.63-2.66, 4 Rh 2.66
Rh (0.7500, 0.2500, 0.5000)  8 Cr 2.63-2.66, 4 Os 2.66

Values from the calculation:
As for the space-group type: I-4m2, No. 119.

---

# 11
Cr2OsRh: relaxed, PBE-GGA.

Unit cell a=4.5477 b=4.5477 c=4.6273 alpha=80.48 beta=80.48 gamma=33.86
Last column: nearest neighbours and their distance in Å.
Element x y z (fractional)
Cr (0.9997, 0.9997, 0.9980)  3 Os 2.63-2.64, 3 Rh 2.64, 6 Cr 2.65-2.68
Cr (0.5003, 0.5003, 0.5020)  3 Os 2.63-2.64, 3 Rh 2.64, 6 Cr 2.65-2.68
Rh (0.2500, 0.2500, 0.2500)  6 Cr 2.64, 2 Rh 2.65, 4 Os 2.67
Os (0.7500, 0.7500, 0.7500)  6 Cr 2.63-2.64, 2 Os 2.65, 4 Rh 2.67

Values from the calculation:
As for the space-group type: C2/m, No. 12.

---

# 12
Cr2OsRh: relaxed, PBE-GGA.

Unit cell a=2.6718 b=3.6835 c=5.3506 alpha=90.00 beta=90.00 gamma=90.00
Last column: nearest neighbours and their distance in Å.
Element x y z (fractional)
Cr (0.0000, 0.0000, 0.0136)  1 Os 2.45, 6 Cr 2.61-2.67, 4 Rh 2.64
Cr (0.5000, 0.5000, 0.2515)  4 Os 2.56, 6 Cr 2.61-2.67, 2 Rh 2.61-2.74
Rh (0.5000, 0.5000, 0.7637)  6 Cr 2.61-2.74, 2 Rh 2.67, 4 Os 2.76
Os (0.0000, 0.0000, 0.4711)  5 Cr 2.45-2.56, 2 Os 2.67

Values from the calculation:
As for the space-group type: Pmm2, No. 25.

---

Which DFT formation energy belongs to each record? In order, 98.6; 74.5; 187.8; -30.1; 127.1; 33.1; 168.0; -57.5; -38.4; 53.1; 94.9; 85.5 meV per atom.